# 1
AlGeOs2: relaxed, PBE-GGA.

The calculation puts the total energy at -31.3 eV per formula unit. The formation energy comes out at -0.12 eV/atom. For the calculated volume, the calculation gives 13.93 A^3/atom.

Cell: 3.0510 4.2731 4.2731 Å, 90.00 90.00 90.00°
Last column: nearest neighbours and their distance in Å.
Fractional coordinates of all 4 atoms:
Os 0.0000 0.5000 0.0000  4 Al 2.63, 4 Ge 2.63
Os 0.0000 0.0000 0.5000  4 Ge 2.63, 4 Al 2.63
Al 0.5000 0.5000 0.5000  8 Os 2.63
Ge 0.5000 0.0000 0.0000  8 Os 2.63

***

# 2
AlGe2Os: relaxed, PBE-GGA.

The calculation puts the total energy at -21.9 eV per formula unit. The formation energy comes out at 0.57 eV/atom. For the calculated volume, the calculation gives 23.39 A^3/atom.

Cell: 5.7986 5.7986 6.9124 Å, 65.20 65.20 90.00°
Last column: nearest neighbours and their distance in Å.
Fractional coordinates of all 8 atoms:
Ge 0.0965 0.6250 0.2500  2 Os 2.38, 2 Al 2.58
Ge 0.8750 0.9035 0.7500  2 Os 2.38, 2 Al 2.58
Ge 0.6535 0.1250 0.2500  2 Os 2.38, 2 Al 2.58
Ge 0.3750 0.3465 0.7500  2 Os 2.38, 2 Al 2.58
Os 0.0000 0.0000 0.0000  4 Ge 2.38
Os 0.7500 0.2500 0.5000  4 Ge 2.38
Al 0.5000 0.5000 0.0000  4 Ge 2.58
Al 0.2500 0.7500 0.5000  4 Ge 2.58

***

# 3
AlGe2Os: relaxed, PBE-GGA.

The calculation puts the total energy at -23.7 eV per formula unit. The formation energy comes out at 0.13 eV/atom. For the calculated volume, the calculation gives 17.43 A^3/atom.

Cell: 2.9901 2.9901 9.1670 Å, 80.61 80.61 60.00°
Last column: nearest neighbours and their distance in Å.
Fractional coordinates of all 4 atoms:
Ge 0.9035 0.9035 0.2894  3 Os 2.56, 1 Al 2.61
Ge 0.0965 0.0965 0.7106  3 Os 2.56, 1 Al 2.61
Al 0.0000 0.0000 0.0000  2 Ge 2.61
Os 0.5000 0.5000 0.5000  6 Ge 2.56

***

# 4
AlGe3Os: relaxed, PBE-GGA.

The calculation puts the total energy at -21.7 eV per formula unit. The formation energy comes out at 1.43 eV/atom. For the calculated volume, the calculation gives 21.04 A^3/atom. The energy above the most stable polymorph in this dataset comes out at 88.5 kJ/mol of atoms.

Cell: 4.7209 4.7209 4.7209 Å, 90.00 90.00 90.00°
Last column: nearest neighbours and their distance in Å.
Fractional coordinates of all 5 atoms:
Ge 0.0000 0.5000 0.0000  2 Al 2.36
Ge 0.5000 0.0000 0.0000  2 Al 2.36
Ge 0.0000 0.0000 0.5000  2 Al 2.36
Al 0.0000 0.0000 0.0000  6 Ge 2.36
Os 0.5000 0.5000 0.5000  12 Ge 3.34

***

# 5
Al2GeOs2: relaxed, PBE-GGA.

The calculation puts the total energy at -34.8 eV per formula unit. The formation energy comes out at -0.05 eV/atom. For the calculated volume, the calculation gives 15.24 A^3/atom.

Cell: 6.9594 6.9594 3.1475 Å, 90.00 90.00 90.00°
Last column: nearest neighbours and their distance in Å.
Fractional coordinates of all 10 atoms:
Os 0.6597 0.1597 0.0000  6 Al 2.54-2.61, 2 Ge 2.62
Os 0.8403 0.6597 0.0000  6 Al 2.54-2.61, 2 Ge 2.62
Os 0.3403 0.8403 0.0000  6 Al 2.54-2.61, 2 Ge 2.62
Os 0.1597 0.3403 0.0000  6 Al 2.54-2.61, 2 Ge 2.62
Al 0.6383 0.8617 0.5000  6 Os 2.54-2.61, 1 Al 2.72
Al 0.1383 0.6383 0.5000  6 Os 2.54-2.61, 1 Al 2.72
Al 0.8617 0.3617 0.5000  6 Os 2.54-2.61, 1 Al 2.72
Al 0.3617 0.1383 0.5000  6 Os 2.54-2.61, 1 Al 2.72
Ge 0.5000 0.5000 0.0000  4 Os 2.62
Ge 0.0000 0.0000 0.0000  4 Os 2.62

***

# 6
AlGe3Os: relaxed, PBE-GGA.

The calculation puts the total energy at -26.2 eV per formula unit. The formation energy comes out at 0.52 eV/atom. For the calculated volume, the calculation gives 22.27 A^3/atom. The energy above the most stable polymorph in this dataset comes out at 0.0 kJ/mol of atoms.

Cell: 4.8109 4.8109 4.8109 Å, 90.00 90.00 90.00°
Last column: nearest neighbours and their distance in Å.
Fractional coordinates of all 5 atoms:
Os 0.0000 0.0000 0.0000  6 Ge 2.41
Ge 0.5000 0.0000 0.0000  2 Os 2.41
Ge 0.0000 0.5000 0.0000  2 Os 2.41
Ge 0.0000 0.0000 0.5000  2 Os 2.41
Al 0.5000 0.5000 0.5000  12 Ge 3.40